Crystalline Zn2TcAg at its relaxed geometry, computed with GGA-PBE.

Values from the calculation:
total magnetization	0.000	μB per cell
volume	15.3	Å³/atom
excess energy over the best structure of this formula in the dataset	82.5	meV/atom
raw total energy	-3.794	eV per atom

Geometry as POSCAR:
```
Zn2TcAg
1.0
2.712 0.000 0.000
0.000 5.164 0.024
0.000 3.172 4.373
Tc Zn Ag
1 2 1
Direct
0.000 0.000 0.500
0.000 0.000 0.000
0.500 0.500 0.000
0.500 0.500 0.500
```